A plane-wave DFT calculation with GGA-PBE was carried out for crystalline SiC2BrF at its relaxed geometry.

Cell: 3.8630 3.8630 5.4507 Å, 90.00 90.00 90.00°
Space group P4/mmm (No. 123)
Unique sites:
Si1 0.0000 0.0000 0.0000
C1 0.0000 0.5000 0.5000
Br1 0.0000 0.0000 0.5000
F1 0.5000 0.5000 0.0000

Output
size of the total moment	0.000	μB per cell
calculated total energy	-14.90	eV/cell